# 1
This record from Alexandria via LeMat-Bulk describes an optimized crystal structure of CaTmAsSe. The functional is PBE.

abc: 4.1359 4.1359 20.5333
angles: 90.00 90.00 120.00
Space group R3m (No. 160, hexagonal axes)
One atom of each set of equivalent atoms:
Ca 0.0000 0.0000 0.0000 (multiplicity 3)
Tm 0.0000 0.0000 0.5082 (multiplicity 3)
As 0.0000 0.0000 0.2483 (multiplicity 3)
Se 0.0000 0.0000 0.7570 (multiplicity 3)

Summary:
- raw total energy (eV for the cell shown) = -64.1
- ΔE_f (raw) (kcal/mol of atoms) = -39.0

***

# 2
This record from Alexandria via LeMat-Bulk describes an optimized crystal structure of CaVAs2Se. The functional is PBE.

abc: 4.639 4.639 5.452
angles: 90.00 90.00 90.00
Space group P4/mmm (No. 123)
One atom of each set of equivalent atoms:
Ca 0.000 0.000 0.000 (multiplicity 1)
V 0.500 0.500 0.500 (multiplicity 1)
As 0.000 0.500 0.500 (multiplicity 2)
Se 0.500 0.500 0.000 (multiplicity 1)

Summary:
- raw total energy (eV for the cell shown) = -26.2
- ΔE_f (raw) (kcal/mol of atoms) = -10.7

***

# 3
This record from Alexandria via LeMat-Bulk describes an optimized crystal structure of CaVAsSe2. The functional is PBE.

abc: 5.310 5.310 5.235
angles: 90.00 90.00 90.00
Space group P4/mmm (No. 123)
One atom of each set of equivalent atoms:
Ca 0.000 0.000 0.000 (multiplicity 1)
V 0.500 0.500 0.500 (multiplicity 1)
As 0.000 0.000 0.500 (multiplicity 1)
Se 0.000 0.500 0.000 (multiplicity 2)

Summary:
- raw total energy (eV for the cell shown) = -18.5
- ΔE_f (raw) (kcal/mol of atoms) = 19.4

***

# 4
This record from Alexandria via LeMat-Bulk describes an optimized crystal structure of CaVAsSe2. The functional is PBE.

abc: 5.341 5.341 4.659
angles: 90.00 90.00 90.00
Space group P4/mmm (No. 123)
One atom of each set of equivalent atoms:
Ca 0.000 0.000 0.000 (multiplicity 1)
V 0.500 0.500 0.000 (multiplicity 1)
As 0.500 0.500 0.500 (multiplicity 1)
Se 0.000 0.500 0.500 (multiplicity 2)

Summary:
- raw total energy (eV for the cell shown) = -23.1
- ΔE_f (raw) (kcal/mol of atoms) = -1.7

***

# 5
This record from Alexandria via LeMat-Bulk describes an optimized crystal structure of CaVAs2Se. The functional is PBE.

abc: 5.240 5.240 5.260
angles: 90.00 90.00 90.00
Space group P4/mmm (No. 123)
One atom of each set of equivalent atoms:
Ca 0.000 0.000 0.000 (multiplicity 1)
V 0.500 0.500 0.500 (multiplicity 1)
As 0.000 0.500 0.000 (multiplicity 2)
Se 0.000 0.000 0.500 (multiplicity 1)

Summary:
- raw total energy (eV for the cell shown) = -18.4
- ΔE_f (raw) (kcal/mol of atoms) = 25.3

***

# 6
This record from Alexandria via LeMat-Bulk describes an optimized crystal structure of CaVAsSe2. The functional is PBE.

abc: 4.968 4.968 4.705
angles: 90.00 90.00 90.00
Space group P4/mmm (No. 123)
One atom of each set of equivalent atoms:
Ca 0.000 0.000 0.000 (multiplicity 1)
V 0.500 0.500 0.500 (multiplicity 1)
As 0.500 0.500 0.000 (multiplicity 1)
Se 0.000 0.500 0.500 (multiplicity 2)

Summary:
- raw total energy (eV for the cell shown) = -25.7
- ΔE_f (raw) (kcal/mol of atoms) = -13.9

***

# 7
This record from Alexandria via LeMat-Bulk describes an optimized crystal structure of CaAs2WSe. The functional is PBE.

abc: 4.834 4.834 5.345
angles: 90.00 90.00 90.00
Space group P4/mmm (No. 123)
One atom of each set of equivalent atoms:
Ca 0.000 0.000 0.000 (multiplicity 1)
As 0.000 0.500 0.500 (multiplicity 2)
W 0.500 0.500 0.500 (multiplicity 1)
Se 0.500 0.500 0.000 (multiplicity 1)

Summary:
- raw total energy (eV for the cell shown) = -28.5
- ΔE_f (raw) (kcal/mol of atoms) = -3.7

***

# 8
This record from Alexandria via LeMat-Bulk describes an optimized crystal structure of CaAs2WSe. The functional is PBE.

abc: 5.130 5.130 5.095
angles: 90.00 90.00 90.00
Space group P4/mmm (No. 123)
One atom of each set of equivalent atoms:
Ca 0.000 0.000 0.000 (multiplicity 1)
As 0.000 0.500 0.000 (multiplicity 2)
W 0.500 0.500 0.500 (multiplicity 1)
Se 0.000 0.000 0.500 (multiplicity 1)

Summary:
- raw total energy (eV for the cell shown) = -19.1
- ΔE_f (raw) (kcal/mol of atoms) = 39.9

***

# 9
This record from Alexandria via LeMat-Bulk describes an optimized crystal structure of CaAsWSe2. The functional is PBE.

abc: 5.032 5.032 4.903
angles: 90.00 90.00 90.00
Space group P4/mmm (No. 123)
One atom of each set of equivalent atoms:
Ca 0.000 0.000 0.000 (multiplicity 1)
As 0.500 0.500 0.000 (multiplicity 1)
W 0.500 0.500 0.500 (multiplicity 1)
Se 0.000 0.500 0.500 (multiplicity 2)

Summary:
- raw total energy (eV for the cell shown) = -27.9
- ΔE_f (raw) (kcal/mol of atoms) = -6.0

***

# 10
This record from Alexandria via LeMat-Bulk describes an optimized crystal structure of CaAsWSe2. The functional is PBE.

abc: 5.264 5.264 5.232
angles: 90.00 90.00 90.00
Space group P4/mmm (No. 123)
One atom of each set of equivalent atoms:
Ca 0.000 0.000 0.000 (multiplicity 1)
As 0.000 0.000 0.500 (multiplicity 1)
W 0.500 0.500 0.500 (multiplicity 1)
Se 0.000 0.500 0.000 (multiplicity 2)

Summary:
- raw total energy (eV for the cell shown) = -20.1
- ΔE_f (raw) (kcal/mol of atoms) = 29.8

***

# 11
This record from Alexandria via LeMat-Bulk describes an optimized crystal structure of CaYAsSe2. The functional is PBE.

abc: 5.431 5.431 5.385
angles: 90.00 90.00 90.00
Space group P4/mmm (No. 123)
One atom of each set of equivalent atoms:
Ca 0.000 0.000 0.000 (multiplicity 1)
Y 0.500 0.500 0.500 (multiplicity 1)
As 0.500 0.500 0.000 (multiplicity 1)
Se 0.000 0.500 0.500 (multiplicity 2)

Summary:
- raw total energy (eV for the cell shown) = -24.2
- ΔE_f (raw) (kcal/mol of atoms) = -19.0

***

# 12
This record from Alexandria via LeMat-Bulk describes an optimized crystal structure of CaYAsSe2. The functional is PBE.

abc: 5.283 5.283 5.190
angles: 90.00 90.00 90.00
Space group P4/mmm (No. 123)
One atom of each set of equivalent atoms:
Ca 0.000 0.000 0.000 (multiplicity 1)
Y 0.500 0.500 0.500 (multiplicity 1)
As 0.000 0.000 0.500 (multiplicity 1)
Se 0.000 0.500 0.000 (multiplicity 2)

Summary:
- raw total energy (eV for the cell shown) = -22.0
- ΔE_f (raw) (kcal/mol of atoms) = -8.7

***

# 13
This record from Alexandria via LeMat-Bulk describes an optimized crystal structure of Ca2YAsSe. The functional is PBE.

abc: 6.379 6.379 5.103
angles: 90.00 90.00 90.00
Space group P4/mmm (No. 123)
One atom of each set of equivalent atoms:
Ca 0.000 0.500 0.000 (multiplicity 2)
Y 0.000 0.000 0.000 (multiplicity 1)
As 0.500 0.500 0.500 (multiplicity 1)
Se 0.000 0.000 0.500 (multiplicity 1)

Summary:
- raw total energy (eV for the cell shown) = -17.3
- ΔE_f (raw) (kcal/mol of atoms) = 6.1

***

# 14
This record from Alexandria via LeMat-Bulk describes an optimized crystal structure of CaZnAs2Se. The functional is PBE.

abc: 4.784 4.784 5.356
angles: 90.00 90.00 90.00
Space group P4/mmm (No. 123)
One atom of each set of equivalent atoms:
Ca 0.000 0.000 0.000 (multiplicity 1)
Zn 0.500 0.500 0.500 (multiplicity 1)
As 0.000 0.500 0.500 (multiplicity 2)
Se 0.500 0.500 0.000 (multiplicity 1)

Summary:
- raw total energy (eV for the cell shown) = -16.6
- ΔE_f (raw) (kcal/mol of atoms) = -2.6

***

# 15
This record from Alexandria via LeMat-Bulk describes an optimized crystal structure of CaZnAsSe2. The functional is PBE.

abc: 5.176 5.176 4.641
angles: 90.00 90.00 90.00
Space group P4/mmm (No. 123)
One atom of each set of equivalent atoms:
Ca 0.000 0.000 0.000 (multiplicity 1)
Zn 0.500 0.500 0.500 (multiplicity 1)
As 0.500 0.500 0.000 (multiplicity 1)
Se 0.000 0.500 0.500 (multiplicity 2)

Summary:
- raw total energy (eV for the cell shown) = -16.4
- ΔE_f (raw) (kcal/mol of atoms) = -7.1